1.
Density functional theory data (meta-GGA SCAN) for a PBEsol-optimized structure of YTcIr2.

Values from the calculation:
energy above the most stable polymorph in this dataset: 76 meV/atom
DFT formation energy: -205 meV/atom
space-group type: P4/mmm, No. 123
DOS at the Fermi energy: 1.023 states/eV per atom
density: 14663 kg/m³

Structure (extended XYZ):
```
4
Lattice="3.8951 0.0000 0.0000 0.0000 4.0758 0.0000 0.0000 0.0000 4.0758" Properties=species:S:1:pos:R:3 pbc="T T T"
Ir 0.0000 0.0000 2.0379
Ir 0.0000 2.0379 0.0000
Tc 1.9475 2.0379 2.0379
Y 1.9475 0.0000 0.0000
```

=====

2.
Density functional theory data (meta-GGA SCAN) for a PBEsol-optimized structure of FeReTeC2.

Values from the calculation:
space-group type: P4/mmm, No. 123
uncorrected formation energy: 7.27 eV per formula unit
DOS at the Fermi energy: 0.851 states/eV per atom
density: 8283 kg/m³

Structure (extended XYZ):
```
5
Lattice="-2.5164 3.0167 0.1562 -0.6321 -0.7246 3.8121 3.8362 3.1362 1.2323" Properties=species:S:1:pos:R:3 pbc="T T T"
Re 0.0000 0.0000 0.0000
C -0.3161 -0.3623 1.9060
C -1.2582 1.5083 0.0781
Te 0.3438 2.7141 2.6003
Fe 1.9181 1.5681 0.6161
```

=====

3.
Density functional theory data (meta-GGA SCAN) for a PBEsol-optimized structure of Li2NiAu.

Values from the calculation:
DFT formation energy: -294 meV/atom
space-group type: I-4m2, No. 119
DOS at the Fermi energy: 0.251 states/eV per atom
density: 8577 kg/m³

Structure (extended XYZ):
```
4
Lattice="-0.7988 -3.5339 -2.1022 -0.1395 0.0186 4.1950 -3.6807 -0.3402 1.9704" Properties=species:S:1:pos:R:3 pbc="T T T"
Ni -2.2397 -1.9371 -0.0659
Au -3.4294 -2.8963 1.9986
Li 0.0000 0.0000 0.0000
Li -1.1896 -0.9592 2.0645
```

=====

4.
Density functional theory data (meta-GGA SCAN) for a PBEsol-optimized structure of CrNi2.

Values from the calculation:
DFT formation energy: 108 meV/atom
space-group type: P-62m, No. 189
DOS at the Fermi energy: 0.790 states/eV per atom
density: 8853 kg/m³

Structure (extended XYZ):
```
9
Lattice="-1.5388 1.3824 -1.2138 -0.9656 -4.9986 -4.4688 -3.9387 0.4395 5.4938" Properties=species:S:1:pos:R:3 pbc="T T T"
Cr -0.7694 0.6912 -0.6069
Cr -1.9566 -3.1859 -1.1479
Cr -2.9477 -1.3732 2.1729
Ni -1.2207 0.1362 1.7027
Ni -3.3155 0.9753 2.9444
Ni -3.3843 -3.1460 0.7073
Ni -0.2993 -1.5492 -1.3850
Ni -2.5034 -0.9207 -0.2445
Ni -1.3936 -2.5400 -3.4957
```

=====

5.
Density functional theory data (meta-GGA SCAN) for a PBEsol-optimized structure of Si2IrO.

Values from the calculation:
space-group type: I-42d, No. 122
uncorrected formation energy: -2.42 eV per formula unit
DOS at the Fermi energy: 0.233 states/eV per atom
density: 7610 kg/m³

Structure (extended XYZ):
```
8
Lattice="4.9567 0.0000 0.0000 0.0000 4.9567 0.0000 -2.4783 -2.4783 4.6962" Properties=species:S:1:pos:R:3 pbc="T T T"
Si 1.4864 3.7175 1.1740
Si 3.4702 1.2392 1.1740
Si -1.2392 -0.9919 3.5221
Si 1.2392 0.9919 3.5221
Ir 0.0000 2.4783 2.3481
Ir 0.0000 0.0000 0.0000
O 2.4783 0.0000 2.3481
O 2.4783 2.4783 0.0000
```

=====

6.
Density functional theory data (meta-GGA SCAN) for a PBEsol-optimized structure of KRuSe4.

Values from the calculation:
space-group type: F-43m, No. 216
uncorrected formation energy: 3.70 eV per formula unit
DOS at the Fermi energy: 0.922 states/eV per atom
density: 5776 kg/m³

Structure (extended XYZ):
```
6
Lattice="-0.5917 4.1764 -3.8367 -5.2024 1.8610 -1.4089 -1.7237 5.1750 1.6619" Properties=species:S:1:pos:R:3 pbc="T T T"
K -5.6383 8.4093 -2.6878
Ru 0.0000 0.0000 0.0000
Se -2.8117 4.1936 -1.3404
Se -3.6804 6.8015 -0.5029
Se -3.1099 6.2983 -3.2739
Se -5.4335 5.1315 -2.0504
```

=====

7.
Density functional theory data (meta-GGA SCAN) for a PBEsol-optimized structure of FeCoIr2.

Values from the calculation:
DFT formation energy: -14 meV/atom
space-group type: Cmmm, No. 65
DOS at the Fermi energy: 1.135 states/eV per atom
density: 16869 kg/m³

Structure (extended XYZ):
```
4
Lattice="-0.9830 1.0753 -2.1966 -4.0438 -1.3287 1.1592 0.5519 4.0236 1.7228" Properties=species:S:1:pos:R:3 pbc="T T T"
Ir -2.0219 -0.6643 0.5796
Ir 0.2759 2.0118 0.8614
Co -0.4915 0.5377 -1.0983
Fe -2.2375 1.8851 0.3427
```

=====

8.
Density functional theory data (meta-GGA SCAN) for a PBEsol-optimized structure of YAsPb.

Values from the calculation:
DFT formation energy: -506 meV/atom
space-group type: F-43m, No. 216
DOS at the Fermi energy: 0.393 states/eV per atom
density: 7487 kg/m³

Structure (extended XYZ):
```
3
Lattice="-2.4509 4.1674 0.6806 -3.1773 0.3893 3.6865 1.0394 2.8461 3.8284" Properties=species:S:1:pos:R:3 pbc="T T T"
Pb 0.0000 0.0000 0.0000
Y -2.2944 3.7014 4.0977
As -3.4417 5.5521 6.1466
```